A relaxed structure of ReHS3. Source: Alexandria, functional PBE. Values from VASP.

Structure (Quantum ESPRESSO input):
```
&SYSTEM
  ibrav = 0, nat = 5, ntyp = 3
/
ATOMIC_SPECIES
H 1.01 H.upf
S 32.06 S.upf
Re 186.21 Re.upf
ATOMIC_POSITIONS crystal
H 0.5000 0.5000 0.5000
S 0.5000 0.0000 0.0000
S 0.0000 0.0000 0.5000
S 0.0000 0.5000 0.0000
Re 0.0000 0.0000 0.0000
CELL_PARAMETERS angstrom
4.6272 0.0000 0.0000
0.0000 4.6272 0.0000
0.0000 0.0000 4.6272
```

Output
Calculated total energy ... -4.93 eV per atom
Relative energy among the computed polymorphs ... 0.000 eV/atom
Density of states at the Fermi level ... 3.5 states/eV per cell

---

A relaxed structure of Re2HS2. Source: Alexandria, functional PBE. Values from VASP.

Structure (Quantum ESPRESSO input):
```
&SYSTEM
  ibrav = 0, nat = 10, ntyp = 3
/
ATOMIC_SPECIES
Re 186.21 Re.upf
S 32.06 S.upf
H 1.01 H.upf
ATOMIC_POSITIONS crystal
Re 0.3433 0.8433 0.0000
Re 0.1567 0.3433 0.0000
Re 0.8433 0.6567 0.0000
Re 0.6567 0.1567 0.0000
S 0.8528 0.3528 0.5000
S 0.6472 0.8528 0.5000
S 0.1472 0.6472 0.5000
S 0.3528 0.1472 0.5000
H 0.0000 0.0000 0.0000
H 0.5000 0.5000 0.0000
CELL_PARAMETERS angstrom
-4.9518 0.5839 4.5484
-3.6501 -4.5539 -3.3893
1.2019 -2.1419 1.5835
```

Output
Calculated total energy ... -6.54 eV per atom
Relative energy among the computed polymorphs ... 0.292 eV/atom
Density of states at the Fermi level ... 7.9 states/eV per cell

---

A relaxed structure of ReHS3. Source: Alexandria, functional PBE. Values from VASP.

Structure (Quantum ESPRESSO input):
```
&SYSTEM
  ibrav = 0, nat = 5, ntyp = 3
/
ATOMIC_SPECIES
Re 186.21 Re.upf
S 32.06 S.upf
H 1.01 H.upf
ATOMIC_POSITIONS crystal
Re 0.5000 0.5000 0.5000
S 0.0000 0.0000 0.5000
S 0.0000 0.5000 0.0000
S 0.5000 0.0000 0.0000
H 0.0000 0.0000 0.0000
CELL_PARAMETERS angstrom
3.9340 0.0000 0.0000
0.0000 3.9340 0.0000
0.0000 0.0000 3.9340
```

Output
Calculated total energy ... -4.32 eV per atom
Relative energy among the computed polymorphs ... 0.614 eV/atom
Density of states at the Fermi level ... 4.6 states/eV per cell

---

A relaxed structure of ReH4S6. Source: Alexandria, functional PBE. Values from VASP.

Structure (Quantum ESPRESSO input):
```
&SYSTEM
  ibrav = 0, nat = 22, ntyp = 3
/
ATOMIC_SPECIES
S 32.06 S.upf
Re 186.21 Re.upf
H 1.01 H.upf
ATOMIC_POSITIONS crystal
S 0.3896 0.4196 0.2189
S 0.4735 0.2342 0.8248
S 0.1154 0.2044 0.2452
S 0.4351 0.7044 0.7451
S 0.4674 0.7343 0.3248
S 0.8706 0.5462 0.4261
S 0.7380 0.0206 0.1249
S 0.0319 0.3926 0.0230
S 0.1572 0.0461 0.9261
S 0.9719 0.9196 0.7189
S 0.1165 0.5206 0.6249
S 0.5525 0.8926 0.5230
Re 0.1950 0.2935 0.8497
Re 0.6619 0.7935 0.3496
H 0.3431 0.9041 0.2867
H 0.9658 0.0694 0.5667
H 0.2140 0.2980 0.2160
H 0.3981 0.5694 0.0667
H 0.5254 0.3035 0.1724
H 0.9987 0.8035 0.6724
H 0.4661 0.4041 0.7867
H 0.2720 0.7981 0.7160
CELL_PARAMETERS angstrom
-7.8641 -2.8084 3.8190
0.2181 -3.7023 8.7659
-2.5687 4.7734 9.2604
```

Output
Calculated total energy ... -4.67 eV per atom
Density of states at the Fermi level ... 0.8 states/eV per cell

---

A relaxed structure of Re2HS2. Source: Alexandria, functional PBE. Values from VASP.

Structure (Quantum ESPRESSO input):
```
&SYSTEM
  ibrav = 0, nat = 5, ntyp = 3
/
ATOMIC_SPECIES
H 1.01 H.upf
S 32.06 S.upf
Re 186.21 Re.upf
ATOMIC_POSITIONS crystal
H 0.0000 0.0000 0.0000
S 0.6428 0.6428 0.7143
S 0.3572 0.3572 0.2857
Re 0.2500 0.7500 0.5000
Re 0.7500 0.2500 0.5000
CELL_PARAMETERS angstrom
-3.5478 -1.3179 0.3785
1.2302 -2.5954 2.4935
-2.2453 2.4350 6.5430
```

Output
Calculated total energy ... -6.77 eV per atom
Relative energy among the computed polymorphs ... 0.057 eV/atom
Density of states at the Fermi level ... 2.5 states/eV per cell

---

A relaxed structure of ReSn2HS. Source: Alexandria, functional PBE. Values from VASP.

Structure (Quantum ESPRESSO input):
```
&SYSTEM
  ibrav = 0, nat = 5, ntyp = 4
/
ATOMIC_SPECIES
H 1.01 H.upf
Re 186.21 Re.upf
S 32.06 S.upf
Sn 118.71 Sn.upf
ATOMIC_POSITIONS crystal
H 0.5000 0.5000 0.5000
Re 0.0000 0.0000 0.0000
S 0.0000 0.5000 0.0000
Sn 0.0000 0.0000 0.5000
Sn 0.5000 0.0000 0.0000
CELL_PARAMETERS angstrom
5.2751 0.0000 0.0000
0.0000 4.4594 0.0000
0.0000 0.0000 5.2751
```

Output
Calculated total energy ... -5.04 eV per atom
Density of states at the Fermi level ... 2.5 states/eV per cell

---

A relaxed structure of ReTc2HS. Source: Alexandria, functional PBE. Values from VASP.

Structure (Quantum ESPRESSO input):
```
&SYSTEM
  ibrav = 0, nat = 5, ntyp = 4
/
ATOMIC_SPECIES
Re 186.21 Re.upf
Tc 98.00 Tc.upf
S 32.06 S.upf
H 1.01 H.upf
ATOMIC_POSITIONS crystal
Re 0.0000 0.5000 0.0000
Tc 0.5000 0.0000 0.0000
Tc 0.0000 0.0000 0.5000
S 0.5000 0.5000 0.5000
H 0.0000 0.0000 0.0000
CELL_PARAMETERS angstrom
-0.4654 -2.4910 -3.0730
3.6935 0.4684 -0.9390
0.9841 -3.0698 2.3394
```

Output
Calculated total energy ... -7.43 eV per atom
Density of states at the Fermi level ... 5.5 states/eV per cell

---

A relaxed structure of ReSbH2. Source: Alexandria, functional PBE. Values from VASP.

Structure (Quantum ESPRESSO input):
```
&SYSTEM
  ibrav = 0, nat = 4, ntyp = 3
/
ATOMIC_SPECIES
Re 186.21 Re.upf
Sb 121.76 Sb.upf
H 1.01 H.upf
ATOMIC_POSITIONS crystal
Re 0.5000 0.5000 0.5000
Sb 0.0000 0.0000 0.0000
H 0.2500 0.2500 0.2500
H 0.7500 0.7500 0.7500
CELL_PARAMETERS angstrom
0.0000 2.8186 2.8186
2.8186 0.0000 2.8186
2.8186 2.8186 0.0000
```

Output
Calculated total energy ... -4.52 eV per atom
Relative energy among the computed polymorphs ... 0.818 eV/atom
Density of states at the Fermi level ... 2.0 states/eV per cell

---

A relaxed structure of ReSb3H. Source: Alexandria, functional PBE. Values from VASP.

Structure (Quantum ESPRESSO input):
```
&SYSTEM
  ibrav = 0, nat = 5, ntyp = 3
/
ATOMIC_SPECIES
Re 186.21 Re.upf
Sb 121.76 Sb.upf
H 1.01 H.upf
ATOMIC_POSITIONS crystal
Re 0.0000 0.0000 0.0000
Sb 0.5000 0.0000 0.0000
Sb 0.0000 0.5000 0.0000
Sb 0.0000 0.0000 0.5000
H 0.5000 0.5000 0.5000
CELL_PARAMETERS angstrom
-1.0905 2.5552 4.3602
-1.4591 -4.4298 2.2311
4.8386 -0.7600 1.6555
```

Output
Calculated total energy ... -4.63 eV per atom
Relative energy among the computed polymorphs ... 0.000 eV/atom
Density of states at the Fermi level ... 4.6 states/eV per cell

---

A relaxed structure of Re2SbH. Source: Alexandria, functional PBE. Values from VASP.

Structure (Quantum ESPRESSO input):
```
&SYSTEM
  ibrav = 0, nat = 4, ntyp = 3
/
ATOMIC_SPECIES
H 1.01 H.upf
Re 186.21 Re.upf
Sb 121.76 Sb.upf
ATOMIC_POSITIONS crystal
H 0.0000 0.0000 0.0000
Re 0.7500 0.7500 0.7500
Re 0.2500 0.2500 0.2500
Sb 0.5000 0.5000 0.5000
CELL_PARAMETERS angstrom
3.4582 -2.4202 -1.0653
2.7720 -1.3138 3.0888
0.1546 -4.1976 1.1435
```

Output
Calculated total energy ... -6.84 eV per atom
Relative energy among the computed polymorphs ... 0.543 eV/atom
Density of states at the Fermi level ... 5.2 states/eV per cell

---

A relaxed structure of ReSb2H6. Source: Alexandria, functional PBE. Values from VASP.

Structure (Quantum ESPRESSO input):
```
&SYSTEM
  ibrav = 0, nat = 18, ntyp = 3
/
ATOMIC_SPECIES
H 1.01 H.upf
Re 186.21 Re.upf
Sb 121.76 Sb.upf
ATOMIC_POSITIONS crystal
H 0.2331 0.2725 0.9018
H 0.4709 0.5000 0.8135
H 0.7669 0.7275 0.0982
H 0.7331 0.2275 0.4018
H 0.7331 0.7726 0.4019
H 0.0291 0.0000 0.6865
H 0.7669 0.2726 0.0981
H 0.2331 0.7274 0.9019
H 0.5291 0.5000 0.1865
H 0.2669 0.7725 0.5982
H 0.2669 0.2274 0.5981
H 0.9709 0.0000 0.3135
Re 0.5000 0.5000 0.0000
Re 0.0000 0.0000 0.5000
Sb 0.7808 0.5000 0.5889
Sb 0.7192 0.0000 0.9111
Sb 0.2808 0.0000 0.0889
Sb 0.2192 0.5000 0.4111
CELL_PARAMETERS angstrom
5.5692 0.0000 -1.4860
0.0000 4.2254 0.0000
-1.1568 0.0000 9.5745
```

Output
Calculated total energy ... -4.28 eV per atom
Density of states at the Fermi level ... 3.6 states/eV per cell

---

A relaxed structure of Re2SbH. Source: Alexandria, functional PBE. Values from VASP.

Structure (Quantum ESPRESSO input):
```
&SYSTEM
  ibrav = 0, nat = 8, ntyp = 3
/
ATOMIC_SPECIES
Re 186.21 Re.upf
H 1.01 H.upf
Sb 121.76 Sb.upf
ATOMIC_POSITIONS crystal
Re 0.3750 0.5433 0.7500
Re 0.4567 0.1250 0.2500
Re 0.8750 0.7067 0.7500
Re 0.2933 0.6250 0.2500
H 0.2500 0.7500 0.5000
H 0.5000 0.5000 0.0000
Sb 0.0000 0.0000 0.0000
Sb 0.7500 0.2500 0.5000
CELL_PARAMETERS angstrom
4.9432 0.0000 0.0000
0.0000 4.9432 0.0000
2.4716 2.4716 5.0202
```

Output
Calculated total energy ... -7.38 eV per atom
Relative energy among the computed polymorphs ... 0.000 eV/atom
Density of states at the Fermi level ... 1.8 states/eV per cell